Entry 1:
Tl7HgPb3 (PBE, optimized geometry); formation energy from the elements = 0.058 eV/atom; crystal system = orthorhombic; total magnetization = 0.000 μB/atom; space-group type = Cmcm, No. 63
1.0
1.679 -16.860 0.000
1.679 16.860 0.000
0.000 0.000 12.360
Tl Hg Pb
14 2 6
Direct
0.027 0.973 0.613
0.027 0.973 0.887
0.142 0.858 0.535
0.142 0.858 0.965
0.144 0.856 0.250
0.229 0.771 0.104
0.229 0.771 0.396
0.771 0.229 0.604
0.771 0.229 0.896
0.856 0.144 0.750
0.858 0.142 0.035
0.858 0.142 0.465
0.973 0.027 0.113
0.973 0.027 0.387
0.404 0.596 0.250
0.596 0.404 0.750
0.310 0.690 0.250
0.434 0.566 0.616
0.434 0.566 0.884
0.566 0.434 0.116
0.566 0.434 0.384
0.690 0.310 0.750

Entry 2:
Tl6HgPb3 (PBE, optimized geometry); formation energy from the elements = 0.012 eV/atom; crystal system = monoclinic; total magnetization = 0.000 μB/atom; space-group type = P2_1/m, No. 11; polymorph energy (0 for the lowest one) = 0 meV per atom
1.0
12.831 0.000 0.000
0.000 3.395 0.000
-5.948 0.000 14.262
Tl Hg Pb
12 2 6
Direct
0.037 0.250 0.409
0.131 0.750 0.996
0.162 0.250 0.785
0.260 0.750 0.392
0.325 0.250 0.210
0.438 0.250 0.806
0.562 0.750 0.194
0.675 0.750 0.790
0.740 0.250 0.608
0.838 0.750 0.215
0.869 0.250 0.004
0.963 0.750 0.591
0.071 0.750 0.185
0.929 0.250 0.815
0.238 0.750 0.612
0.376 0.250 0.999
0.469 0.250 0.591
0.531 0.750 0.409
0.624 0.750 0.001
0.762 0.250 0.388

Entry 3:
Tl2Hg3Pb2 (PBE, optimized geometry); formation energy from the elements = 0.032 eV/atom; crystal system = monoclinic; total magnetization = 0.000 μB/atom; space-group type = C2/m, No. 12; polymorph energy (0 for the lowest one) = 4 meV per atom
1.0
5.638 -2.783 0.000
5.638 2.783 0.000
-0.139 0.000 6.464
Tl Hg Pb
2 3 2
Direct
0.053 0.053 0.264
0.947 0.947 0.736
0.234 0.234 0.870
0.500 0.500 0.000
0.766 0.766 0.130
0.349 0.349 0.423
0.651 0.651 0.577

Entry 4:
Tl8HgPb5 (PBE, optimized geometry); formation energy from the elements = 0.066 eV/atom; crystal system = tetragonal; total magnetization = 0.000 μB/atom; space-group type = I-4, No. 82
1.0
-4.882 4.882 4.726
4.882 -4.882 4.726
4.882 4.882 -4.726
Tl Hg Pb
8 1 5
Direct
0.007 0.113 0.783
0.206 0.382 0.591
0.331 0.224 0.217
0.384 0.794 0.176
0.618 0.209 0.824
0.776 0.993 0.107
0.791 0.616 0.409
0.887 0.669 0.893
0.500 0.500 0.000
0.054 0.473 0.221
0.168 0.946 0.419
0.251 0.832 0.779
0.527 0.749 0.581
0.750 0.250 0.500

Entry 5:
Tl6HgPb2 (PBE, optimized geometry); formation energy from the elements = 0.024 eV/atom; crystal system = monoclinic; total magnetization = 0.000 μB/atom; space-group type = C2/m, No. 12; polymorph energy (0 for the lowest one) = 16 meV per atom
1.0
5.744 -4.791 0.000
5.744 4.791 0.000
-2.907 0.000 5.065
Tl Hg Pb
6 1 2
Direct
0.153 0.514 0.335
0.176 0.824 0.000
0.486 0.847 0.665
0.514 0.153 0.335
0.824 0.176 0.000
0.847 0.486 0.665
0.000 0.000 0.500
0.330 0.330 0.832
0.670 0.670 0.168

Entry 6:
TlHg12Pb16 (PBE, optimized geometry); formation energy from the elements = 0.033 eV/atom; crystal system = monoclinic; total magnetization = 0.000 μB/atom; space-group type = Cm, No. 8
1.0
5.896 -8.409 0.000
5.896 8.409 0.000
-5.863 0.000 8.440
Tl Hg Pb
1 12 16
Direct
0.000 0.000 0.000
0.033 0.223 0.338
0.036 0.036 0.532
0.213 0.213 0.900
0.219 0.591 0.522
0.223 0.033 0.338
0.406 0.594 0.087
0.407 0.777 0.900
0.591 0.219 0.522
0.594 0.406 0.087
0.598 0.781 0.715
0.777 0.407 0.900
0.781 0.598 0.715
0.003 0.694 0.309
0.071 0.407 0.712
0.095 0.408 0.113
0.099 0.807 0.712
0.121 0.715 0.022
0.403 0.403 0.374
0.404 0.404 0.712
0.406 0.810 0.401
0.407 0.071 0.712
0.408 0.095 0.113
0.694 0.003 0.309
0.715 0.121 0.022
0.718 0.718 0.429
0.736 0.736 0.050
0.807 0.099 0.712
0.810 0.406 0.401